Model P:
Here is an optimized crystal structure of BaCrCl4 from Alexandria. Energies are from PBE.

Results
space group: C2/c (15)
calculated volume: 30.81 Å³ per atom

Lattice parameters (Å, degrees): 7.1344 7.8664 7.7192 76.10 62.46 90.00
Positions (direct):
Cl 0.1548 0.5477 0.7271
Ba 0.2508 0.7500 0.0000
Cl 0.6205 0.5493 0.7252
Cl 0.6543 0.0494 0.7252
Cl 0.8818 0.9523 0.2729
Cl 0.3795 0.4507 0.2748
Cl 0.3457 0.9506 0.2748
Ba 0.7492 0.2500 0.0000
Cr 0.0000 0.0000 0.5000
Cl 0.1182 0.0477 0.7271
Cr 0.5000 0.5000 0.5000
Cl 0.8452 0.4523 0.2729

Model Q:
Here is an optimized crystal structure of BaCrCl4 from Alexandria. Energies are from PBE.

Results
space group: F-43m (216)
calculated volume: 26.99 Å³ per atom

Lattice parameters (Å, degrees): 6.1178 6.1178 6.1178 60.00 60.00 60.00
Positions (direct):
Cl 0.8742 0.3753 0.3753
Cr 0.7500 0.7500 0.7500
Cl 0.3753 0.3753 0.8742
Cl 0.3753 0.3753 0.3753
Cl 0.3753 0.8742 0.3753
Ba 0.0000 0.0000 0.0000

The winner here is model P, beating the second structure by 1369 meV per atom.